A plane-wave DFT calculation with PBE was carried out for a relaxed LaSmBe crystal.

Output
- E_tot: -44.556 eV/cell

Cell: 6.934 6.934 6.934 Å, 90.00 90.00 90.00°
Space group F-43m (No. 216)
Unique sites:
La: 0.000 0.000 0.000 (multiplicity 4)
Sm: 0.250 0.250 0.750 (multiplicity 4)
Be: 0.000 0.000 0.500 (multiplicity 4)